(1)
Below is crystalline RbNi2I2 at its relaxed geometry, with properties calculated at the GGA-PBE level.

Properties
ΔE_f (raw): 1.568 eV/f.u.
Total magnetic moment: 0.208 μB per atom
Energy: -28.12 eV for the cell shown

Unit cell a=8.888 b=8.888 c=3.791 alpha=90.00 beta=90.00 gamma=90.00
Space group P4/mbm (No. 127)
Asymmetric unit:
Rb 0.000 0.000 0.000 [2 per cell]
Ni 0.091 0.409 0.500 [4 per cell]
I 0.141 0.641 0.000 [4 per cell]

(2)
Below is crystalline Rb2NiI7 at its relaxed geometry, with properties calculated at the GGA-PBE level.

Properties
ΔE_f (raw): -5.782 eV/f.u.
Total magnetic moment: 0.000 μB per atom
Energy: -48.70 eV for the cell shown

Unit cell a=8.288 b=8.288 c=12.442 alpha=90.00 beta=90.00 gamma=90.00
Space group I4/mmm (No. 139)
Asymmetric unit:
Rb 0.000 0.500 0.250 [4 per cell]
Ni 0.000 0.000 0.000 [2 per cell]
I 0.000 0.000 0.208 [4 per cell]
I 0.000 0.000 0.500 [2 per cell]
I 0.231 0.231 0.000 [8 per cell]

(3)
Below is crystalline RbNiI at its relaxed geometry, with properties calculated at the GGA-PBE level.

Properties
ΔE_f (raw): -0.667 eV/f.u.
Total magnetic moment: 0.000 μB per atom
Energy: -17.93 eV for the cell shown

Unit cell a=4.3734 b=4.3734 c=10.9311 alpha=90.00 beta=90.00 gamma=120.00
Space group P6_3/mmc (No. 194)
Asymmetric unit:
Rb 0.0000 0.0000 0.0000 [2 per cell]
Ni 0.3333 0.6667 0.2500 [2 per cell]
I 0.3333 0.6667 0.7500 [2 per cell]

(4)
Below is crystalline RbNiI2 at its relaxed geometry, with properties calculated at the GGA-PBE level.

Properties
ΔE_f (raw): -0.023 eV/f.u.
Total magnetic moment: 0.250 μB per atom
Energy: -39.49 eV for the cell shown

Unit cell a=8.120 b=8.120 c=8.120 alpha=90.00 beta=90.00 gamma=90.00
Space group Fm-3m (No. 225)
Asymmetric unit:
Rb 0.000 0.000 0.000 [4 per cell]
Ni 0.000 0.000 0.500 [4 per cell]
I 0.250 0.250 0.250 [8 per cell]

> Look up the total magnetic moment of the second one.

0.000 μB per atom

Please write out number 1 again, unchanged.
Below is crystalline RbNi2I2 at its relaxed geometry, with properties calculated at the GGA-PBE level.

Properties
ΔE_f (raw): 1.568 eV/f.u.
Total magnetic moment: 0.208 μB per atom
Energy: -28.12 eV for the cell shown

Unit cell a=8.888 b=8.888 c=3.791 alpha=90.00 beta=90.00 gamma=90.00
Space group P4/mbm (No. 127)
Asymmetric unit:
Rb 0.000 0.000 0.000 [2 per cell]
Ni 0.091 0.409 0.500 [4 per cell]
I 0.141 0.641 0.000 [4 per cell]

Copy entry 4 word for word.
Below is crystalline RbNiI2 at its relaxed geometry, with properties calculated at the GGA-PBE level.

Properties
ΔE_f (raw): -0.023 eV/f.u.
Total magnetic moment: 0.250 μB per atom
Energy: -39.49 eV for the cell shown

Unit cell a=8.120 b=8.120 c=8.120 alpha=90.00 beta=90.00 gamma=90.00
Space group Fm-3m (No. 225)
Asymmetric unit:
Rb 0.000 0.000 0.000 [4 per cell]
Ni 0.000 0.000 0.500 [4 per cell]
I 0.250 0.250 0.250 [8 per cell]

> Look up the ΔE_f (raw) of the third one.

-0.667 eV/f.u.